Material: InNiHgOs
Method: DFT, PBE
State: optimized geometry

## Properties
V: 67 Å³/f.u.
E: -17.0 eV for the cell shown

Cell lengths 4.557, 4.557, 4.557 Å; angles 60.00, 60.00, 60.00 degrees
Element x y z (fractional)
In 0.000 0.000 0.000
Ni 0.250 0.250 0.250
Hg 0.750 0.750 0.750
Os 0.500 0.500 0.500